[1]
# ScReP GGA-PBEsol relaxed
# Energy (eV per atom): -9.16
# Formation energy (eV/atom): -0.59
# Density (g/cm3): 9.38
data_ScReP
_chemical_formula_sum 'Sc2 Re2 P2'
_cell_length_a 3.0830
_cell_length_b 3.0830
_cell_length_c 9.7676
_cell_angle_alpha 90.00
_cell_angle_beta 90.00
_cell_angle_gamma 90.00
_symmetry_space_group_name_H-M 'I 4 m m'
_symmetry_Int_Tables_number 107
_symmetry_space_group_name_Hall 'I 4 -2'
loop_
_atom_site_label
_atom_site_type_symbol
_atom_site_fract_x
_atom_site_fract_y
_atom_site_fract_z
_atom_site_occupancy
Sc1 Sc 0.0000 0.0000 0.0000 1
Re1 Re 0.0000 0.0000 0.2988 1
P1 P 0.0000 0.0000 0.6919 1

[2]
# ScRe2P GGA-PBEsol relaxed
# Energy (eV per atom): -9.74
# Formation energy (eV/atom): 0.02
# Density (g/cm3): 12.72
data_ScRe2P
_chemical_formula_sum 'Sc2 Re4 P2'
_cell_length_a 3.8734
_cell_length_b 3.8734
_cell_length_c 7.8001
_cell_angle_alpha 90.00
_cell_angle_beta 90.00
_cell_angle_gamma 90.00
_symmetry_space_group_name_H-M 'I -4 m 2'
_symmetry_Int_Tables_number 119
_symmetry_space_group_name_Hall 'I -4 -2'
loop_
_atom_site_label
_atom_site_type_symbol
_atom_site_fract_x
_atom_site_fract_y
_atom_site_fract_z
_atom_site_occupancy
Sc1 Sc 0.0000 0.0000 0.0000 1
Re1 Re 0.0000 0.0000 0.5000 1
Re2 Re 0.0000 0.5000 0.7500 1
P1 P 0.0000 0.5000 0.2500 1

[3]
# ScRe2P GGA-PBEsol relaxed
# Energy (eV per atom): -9.91
# Formation energy (eV/atom): -0.14
# Density (g/cm3): 12.83
data_ScRe2P
_chemical_formula_sum 'Sc2 Re4 P2'
_cell_length_a 3.0838
_cell_length_b 4.1890
_cell_length_c 8.9871
_cell_angle_alpha 90.00
_cell_angle_beta 90.00
_cell_angle_gamma 90.00
_symmetry_space_group_name_H-M 'I m m 2'
_symmetry_Int_Tables_number 44
_symmetry_space_group_name_Hall 'I 2 -2'
loop_
_atom_site_label
_atom_site_type_symbol
_atom_site_fract_x
_atom_site_fract_y
_atom_site_fract_z
_atom_site_occupancy
Sc1 Sc 0.0000 0.0000 0.0000 1
Re1 Re 0.0000 0.0000 0.4849 1
Re2 Re 0.0000 0.5000 0.2327 1
P1 P 0.0000 0.5000 0.7680 1

[4]
# Sc2ZnReP GGA-PBEsol relaxed
# Energy (eV per atom): -5.85
# Formation energy (eV/atom): 0.94
# Density (g/cm3): 6.51
data_Sc2ZnReP
_chemical_formula_sum 'Sc2 Zn1 Re1 P1'
_cell_length_a 4.8410
_cell_length_b 4.8410
_cell_length_c 4.0530
_cell_angle_alpha 90.00
_cell_angle_beta 90.00
_cell_angle_gamma 90.00
_symmetry_space_group_name_H-M 'P 4/m m m'
_symmetry_Int_Tables_number 123
_symmetry_space_group_name_Hall '-P 4 2'
loop_
_atom_site_label
_atom_site_type_symbol
_atom_site_fract_x
_atom_site_fract_y
_atom_site_fract_z
_atom_site_occupancy
Sc1 Sc 0.0000 0.5000 0.0000 1
Zn1 Zn 0.0000 0.0000 0.0000 1
Re1 Re 0.5000 0.5000 0.5000 1
P1 P 0.0000 0.0000 0.5000 1

[5]
# RePSe2 GGA-PBEsol relaxed
# Energy (eV per atom): -6.06
# Density (g/cm3): 9.16
# Energy relative to the elements, uncorrected (eV/atom): 0.647
data_RePSe2
_chemical_formula_sum 'Re2 P2 Se4'
_cell_length_a 2.9665
_cell_length_b 4.8224
_cell_length_c 9.5093
_cell_angle_alpha 90.00
_cell_angle_beta 90.00
_cell_angle_gamma 90.00
_symmetry_space_group_name_H-M 'C m m m'
_symmetry_Int_Tables_number 65
_symmetry_space_group_name_Hall '-C 2 2'
loop_
_atom_site_label
_atom_site_type_symbol
_atom_site_fract_x
_atom_site_fract_y
_atom_site_fract_z
_atom_site_occupancy
Re1 Re 0.0000 0.0000 0.0000 1
P1 P 0.0000 0.0000 0.5000 1
Se1 Se 0.0000 0.5000 0.2206 1

[6]
# RePSe2 GGA-PBEsol relaxed
# Energy (eV per atom): -6.58
# Density (g/cm3): 8.51
# Energy relative to the elements, uncorrected (eV/atom): 0.130
data_RePSe2
_chemical_formula_sum 'Re1 P1 Se2'
_cell_length_a 2.8980
_cell_length_b 2.8980
_cell_length_c 8.7165
_cell_angle_alpha 90.00
_cell_angle_beta 90.00
_cell_angle_gamma 90.00
_symmetry_space_group_name_H-M 'P 4 m m'
_symmetry_Int_Tables_number 99
_symmetry_space_group_name_Hall 'P 4 -2'
loop_
_atom_site_label
_atom_site_type_symbol
_atom_site_fract_x
_atom_site_fract_y
_atom_site_fract_z
_atom_site_occupancy
Re1 Re 0.0000 0.0000 0.0000 1
P1 P 0.5000 0.5000 0.8329 1
Se1 Se 0.0000 0.0000 0.5264 1
Se2 Se 0.5000 0.5000 0.1849 1

[7]
# ReP2Se2 GGA-PBEsol relaxed
# Energy (eV per atom): -5.46
# Density (g/cm3): 7.25
# Energy relative to the elements, uncorrected (eV/atom): 1.061
data_ReP2Se2
_chemical_formula_sum 'Re2 P4 Se4'
_cell_length_a 4.9325
_cell_length_b 4.9325
_cell_length_c 7.6508
_cell_angle_alpha 90.00
_cell_angle_beta 90.00
_cell_angle_gamma 90.00
_symmetry_space_group_name_H-M 'I 4/m m m'
_symmetry_Int_Tables_number 139
_symmetry_space_group_name_Hall '-I 4 2'
loop_
_atom_site_label
_atom_site_type_symbol
_atom_site_fract_x
_atom_site_fract_y
_atom_site_fract_z
_atom_site_occupancy
Re1 Re 0.0000 0.0000 0.0000 1
P1 P 0.0000 0.5000 0.2500 1
Se1 Se 0.0000 0.0000 0.3187 1

[8]
# ReSi2P GGA-PBEsol relaxed
# Energy (eV per atom): -7.58
# Density (g/cm3): 8.48
# Energy relative to the elements, uncorrected (eV/atom): 0.076
data_ReSi2P
_chemical_formula_sum 'Re2 Si4 P2'
_cell_length_a 8.3368
_cell_length_b 3.0195
_cell_length_c 4.2673
_cell_angle_alpha 90.00
_cell_angle_beta 94.80
_cell_angle_gamma 90.00
_symmetry_space_group_name_H-M 'C 1 2/m 1'
_symmetry_Int_Tables_number 12
_symmetry_space_group_name_Hall '-C 2y'
loop_
_atom_site_label
_atom_site_type_symbol
_atom_site_fract_x
_atom_site_fract_y
_atom_site_fract_z
_atom_site_occupancy
Re1 Re 0.0000 0.0000 0.0000 1
Si1 Si 0.2320 0.5000 0.2385 1
P1 P 0.0000 0.5000 0.5000 1